# 1
This record from Alexandria via LeMat-Bulk describes crystalline Lu2BeZn at its relaxed geometry. The functional is PBE.

```
data_Lu2BeZn
_chemical_formula_sum 'Lu2 Be1 Zn1'
_space_group_name_H-M_alt 'P 1'
_space_group_IT_number 1
_space_group_name_Hall 'P 1'
_cell_length_a 3.378
_cell_length_b 3.378
_cell_length_c 6.949
_cell_angle_alpha 90.00
_cell_angle_beta 90.00
_cell_angle_gamma 90.00
loop_
_atom_site_label
_atom_site_type_symbol
_atom_site_fract_x
_atom_site_fract_y
_atom_site_fract_z
_atom_site_occupancy
Lu1 Lu 0.000 0.000 0.235 1
Lu2 Lu 0.000 0.000 0.765 1
Be1 Be 0.500 0.500 0.000 1
Zn1 Zn 0.500 0.500 0.500 1
```

Results
Uncorrected energy ... -14.629 eV per cell
Polymorph energy (0 for the lowest one) ... 0 meV per atom
Magnetic moment ... 0.00 Bohr magnetons per cell
Symmetry ... P4/mmm (123)
Energy of formation ... -56.6 kJ/mol of formula units
ρ ... 8.89 g/cm³


# 2
This record from Alexandria via LeMat-Bulk describes crystalline PmSi2Pt3 at its relaxed geometry. The functional is PBE.

```
data_PmSi2Pt3
_chemical_formula_sum 'Pm2 Si4 Pt6'
_space_group_name_H-M_alt 'P 1'
_space_group_IT_number 1
_space_group_name_Hall 'P 1'
_cell_length_a 7.819
_cell_length_b 7.819
_cell_length_c 7.553
_cell_angle_alpha 113.29
_cell_angle_beta 113.29
_cell_angle_gamma 30.44
loop_
_atom_site_label
_atom_site_type_symbol
_atom_site_fract_x
_atom_site_fract_y
_atom_site_fract_z
_atom_site_occupancy
Pm1 Pm 0.156 0.156 0.080 1
Pm2 Pm 0.844 0.844 0.920 1
Si1 Si 0.179 0.179 0.652 1
Si2 Si 0.486 0.486 0.835 1
Si3 Si 0.514 0.514 0.165 1
Si4 Si 0.821 0.821 0.348 1
Pt1 Pt 0.032 0.032 0.343 1
Pt2 Pt 0.321 0.321 0.581 1
Pt3 Pt 0.383 0.383 0.269 1
Pt4 Pt 0.617 0.617 0.731 1
Pt5 Pt 0.679 0.679 0.419 1
Pt6 Pt 0.968 0.968 0.657 1
```

Results
Uncorrected energy ... -79.231 eV per cell
Magnetic moment ... 0.00 Bohr magnetons per cell
Raw formation energy ... -0.9827 eV per atom
Symmetry ... C2/m (12)
ρ ... 12.24 g/cm³


# 3
This record from Alexandria via LeMat-Bulk describes crystalline Tl2CoHg at its relaxed geometry. The functional is PBE.

```
data_Tl2CoHg
_chemical_formula_sum 'Tl2 Co1 Hg1'
_space_group_name_H-M_alt 'P 1'
_space_group_IT_number 1
_space_group_name_Hall 'P 1'
_cell_length_a 5.714
_cell_length_b 5.714
_cell_length_c 5.714
_cell_angle_alpha 135.56
_cell_angle_beta 135.56
_cell_angle_gamma 64.67
loop_
_atom_site_label
_atom_site_type_symbol
_atom_site_fract_x
_atom_site_fract_y
_atom_site_fract_z
_atom_site_occupancy
Tl1 Tl 0.000 0.000 0.000 1
Tl2 Tl 0.750 0.250 0.500 1
Co1 Co 0.250 0.750 0.500 1
Hg1 Hg 0.500 0.500 0.000 1
```

Results
Uncorrected energy ... -9.927 eV per cell
Polymorph energy (0 for the lowest one) ... 245 meV per atom
Magnetic moment ... 1.63 Bohr magnetons per cell
Symmetry ... I-4m2 (119)
Energy of formation ... 213.5 kJ/mol of formula units
ρ ... 12.30 g/cm³


Question: Among the records above, which one has the highest uncorrected energy?
Answer: Tl2CoHg


Question: What is the ρ in the third record?
Answer: 12.30 g/cm³


Question: The lowest ρ belongs to which entry?
Answer: Lu2BeZn


Question: Number 3 is which compound?
Answer: Tl2CoHg